# 1
Ca2MgZr (PBE, optimized geometry); symmetry = Cm, No. 8; calculated formation energy = 249 meV per atom; magnetization = 1.81 μB per cell; uncorrected energy = -13.1 eV per formula unit
1.0
-6.361 0.546 0.995
-5.479 -2.529 2.310
-0.897 2.107 5.527
Ca Mg Zr
2 1 1
Cartesian
-1.014 1.969 5.281
-3.015 0.178 2.439
-6.106 0.057 4.226
-9.869 0.091 6.829

# 2
TiTe2IrN (PBE, optimized geometry); symmetry = P4/mmm, No. 123; E above lowest polymorph = 0.00 eV/f.u.; magnetization = 1.71 μB per cell; uncorrected energy = -29.8 eV per formula unit
1.0
-2.262 2.786 -4.144
1.076 -4.171 -3.391
-3.259 -1.479 0.785
N Ir Te Ti
1 1 2 1
Cartesian
-1.630 -0.740 0.392
0.000 0.000 0.000
0.538 -2.085 -1.696
-1.131 1.393 -2.072
-2.223 -1.432 -3.375

# 3
CaThRe4 (PBE, optimized geometry); symmetry = F-43m, No. 216; calculated formation energy = 92 meV per atom; magnetization = 0.00 μB per cell; uncorrected energy = -58.7 eV per formula unit
1.0
5.486 0.000 0.000
2.743 4.751 0.000
2.743 1.584 4.479
Re Ca Th
4 1 1
Cartesian
5.486 3.167 0.558
5.486 1.582 2.800
6.859 3.960 2.800
4.113 3.960 2.800
0.000 0.000 0.000
2.743 1.584 1.120

# 4
PrSmZnCd (PBE, optimized geometry); symmetry = P4mm, No. 99; calculated formation energy = -319 meV per atom; E above lowest polymorph = 0.00 eV/f.u.; magnetization = 0.00 μB per cell; uncorrected energy = -13.0 eV per formula unit
1.0
-0.166 -1.991 3.144
3.702 -0.409 -0.064
0.781 6.419 4.106
Pr Sm Zn Cd
1 1 1 1
Cartesian
1.867 -0.390 2.058
2.227 2.569 3.951
0.286 2.355 1.506
0.662 5.442 3.481

# 5
AgHgTe2 (PBE, optimized geometry); symmetry = Immm, No. 71; magnetization = 0.00 μB per cell; uncorrected energy = -9.0 eV per formula unit
1.0
6.757 0.014 0.003
3.980 5.460 -0.003
-5.317 -2.837 3.054
Te Hg Ag
2 1 1
Cartesian
0.880 0.448 0.000
4.489 2.288 0.000
3.404 -0.043 1.529
2.016 2.679 1.525

# 6
BOs2BrO (PBE, optimized geometry); symmetry = P4/mmm, No. 123; magnetization = 0.53 μB per cell; uncorrected energy = -27.2 eV per formula unit
1.0
-2.838 -0.475 -2.545
3.768 -5.933 -3.092
-1.775 -2.392 2.426
B Os O Br
1 2 1 1
Cartesian
1.884 -2.966 -1.546
-0.888 -1.196 1.213
-1.419 -0.238 -1.273
0.000 0.000 0.000
-0.423 -4.400 -1.606

# 7
NbTl2Ge (PBE, optimized geometry); symmetry = I-42d, No. 122; calculated formation energy = 665 meV per atom; E above lowest polymorph = 0.00 eV/f.u.; magnetization = 0.00 μB per cell; uncorrected energy = -16.8 eV per formula unit
1.0
-6.670 3.575 2.831
-2.000 -6.801 3.876
-2.877 -0.724 5.666
Tl Ge Nb
4 2 2
Cartesian
-5.123 1.195 3.664
-2.818 -3.977 4.199
-5.413 -1.768 6.773
-9.739 -3.352 10.109
-4.335 -1.613 3.353
-4.606 -4.570 6.447
0.000 0.000 0.000
-6.941 0.618 5.925

# 8
YAgAsBr2 (PBE, optimized geometry); symmetry = P4/mmm, No. 123; E above lowest polymorph = 1.52 eV/f.u.; magnetization = 0.00 μB per cell; uncorrected energy = -17.9 eV per formula unit
1.0
5.093 0.000 0.000
0.000 5.093 0.000
0.000 0.000 5.381
Y As Br Ag
1 1 2 1
Cartesian
2.547 2.547 2.690
0.000 0.000 2.690
0.000 2.547 0.000
2.547 0.000 0.000
0.000 0.000 0.000

# 9
K3TeH (PBE, optimized geometry); symmetry = C2/m, No. 12; E above lowest polymorph = 0.57 eV/f.u.; magnetization = 0.00 μB per cell; uncorrected energy = -12.7 eV per formula unit
1.0
23.197 0.000 -2.531
8.957 2.792 -3.677
-8.957 2.792 3.677
H K Te
2 6 2
Cartesian
28.349 2.792 -5.471
-5.152 2.792 2.940
10.507 2.792 -3.042
12.689 2.792 0.511
19.629 2.792 -1.864
3.567 2.792 -0.667
14.933 2.792 -2.886
8.264 2.792 0.355
23.329 2.792 -4.752
-0.133 2.792 2.221

# 10
BaCu3 (PBE, optimized geometry); symmetry = P6_3/mmc, No. 194; calculated formation energy = 70 meV per atom; magnetization = 0.00 μB per cell; uncorrected energy = -13.9 eV per formula unit
1.0
4.253 5.533 0.183
-5.108 -0.627 4.718
2.664 -2.134 2.601
Ba Cu
2 6
Cartesian
3.131 1.879 3.645
-1.321 0.893 3.856
-2.010 -1.503 6.135
3.819 4.276 1.366
0.744 2.080 6.255
1.066 0.693 1.247
0.512 3.871 4.421
1.297 -1.099 3.080

# 11
NpHg3I2O6 (PBE, optimized geometry); symmetry = C2/m, No. 12; magnetization = 1.00 μB per cell; uncorrected energy = -58.6 eV per formula unit
1.0
-0.521 -3.063 5.393
6.158 2.038 1.753
-5.910 4.899 2.192
Np Hg I O
1 3 2 6
Cartesian
-0.261 -1.531 2.697
3.079 1.019 0.876
-0.137 1.937 4.669
-3.216 0.918 3.792
2.032 3.200 2.021
-2.305 0.674 7.317
0.846 -1.759 4.190
-1.119 5.633 5.147
0.944 3.392 5.622
-1.217 0.482 3.716
-4.831 4.405 4.091
4.558 -0.531 5.247

# 12
Cs4TbTh3Se8 (PBE, optimized geometry); symmetry = R-3m, No. 166; magnetization = 0.00 μB per cell; uncorrected energy = -83.3 eV per formula unit
1.0
8.585 0.000 0.000
0.000 9.806 0.857
-4.293 -4.292 6.071
Cs Tb Th Se
4 1 3 8
Cartesian
4.293 0.000 0.000
2.146 -2.146 3.036
0.000 0.000 0.000
-2.146 -2.146 3.036
0.000 4.903 0.428
4.293 4.903 0.428
2.146 2.757 3.464
-2.146 2.757 3.464
-2.169 2.653 6.441
0.000 4.822 3.374
0.000 0.675 3.511
2.169 2.653 6.441
2.124 2.861 0.487
4.293 4.839 3.417
4.293 0.692 3.554
6.462 2.861 0.487